[1]
# Er2AlPd8

A relaxed structure of Er2AlPd8 (PBE, Alexandria via LeMat-Bulk).

It has space group C2/m (No. 12), with a = 15.235 Å, b = 4.576 Å, c = 5.943 Å, α = 90.00°, β = 112.88° and γ = 90.00°. Symmetry generates all atoms from Er at (0.190, 0.000, 0.190), Al at (0.000, 0.500, 0.500), Pd at (0.000, 0.000, 0.250), Pd at (0.133, 0.500, 0.373), Pd at (0.133, 0.500, 0.894) and Pd at (0.178, 0.000, 0.679).

The value obtained for the total energy is -5.6865 eV per atom. Its crystal system is monoclinic. As for the energy of formation: -8.14 eV/f.u.

[2]
# BeAgSb

A relaxed structure of BeAgSb (PBE, Alexandria via LeMat-Bulk).

It has space group Pm (No. 6), with a = 3.779 Å, b = 4.539 Å, c = 6.570 Å, α = 90.00°, β = 100.12° and γ = 90.00°. Symmetry generates all atoms from Be at (0.000, 0.250, 0.000), Ag at (0.085, 0.000, 0.351), Ag at (0.911, 0.500, 0.649), Sb at (0.412, 0.000, 0.778) and Sb at (0.586, 0.500, 0.221).

The value obtained for the formation energy (no corrections) is 0.1864 eV/atom. The value obtained for the total energy is -3.3802 eV per atom. Its crystal system is monoclinic.